Here is a geometry-optimized TaVRu2 structure from Alexandria via LeMat-Bulk. Energies are from PBE-GGA.

Summary:
Energy relative to the elements in eV/atom: -0.29
Calculated volume in Å³/atom: 14.84
Total energy in eV per cell: -40.67

a b c (Å): 2.968 2.968 6.741
angles (deg): 90.00 90.00 90.00
Fractional positions:
Ru: 0.000 0.000 0.720
Ru: 0.000 0.000 0.280
Ta: 0.500 0.500 0.000
V: 0.500 0.500 0.500


Here is a geometry-optimized TaVRu2 structure from Alexandria via LeMat-Bulk. Energies are from PBE-GGA.

Summary:
Energy relative to the elements in eV/atom: -0.26
Calculated volume in Å³/atom: 14.98
Total energy in eV per cell: -40.56

a b c (Å): 3.273 4.278 4.278
angles (deg): 90.00 90.00 90.00
Fractional positions:
Ru: 0.000 0.000 0.500
Ru: 0.000 0.500 0.000
V: 0.500 0.500 0.500
Ta: 0.500 0.000 0.000


Here is a geometry-optimized TaV2Ru2 structure from Alexandria via LeMat-Bulk. Energies are from PBE-GGA.

Summary:
Energy relative to the elements in eV/atom: -0.09
Calculated volume in Å³/atom: 14.79
Total energy in eV per cell: -98.18

a b c (Å): 7.201 7.201 2.853
angles (deg): 90.00 90.00 90.00
Fractional positions:
Ru: 0.154 0.654 0.500
Ru: 0.654 0.846 0.500
Ru: 0.846 0.346 0.500
Ru: 0.346 0.154 0.500
Ta: 0.000 0.000 0.000
Ta: 0.500 0.500 0.000
V: 0.353 0.853 0.000
V: 0.853 0.647 0.000
V: 0.647 0.147 0.000
V: 0.147 0.353 0.000


Here is a geometry-optimized Ta2VRu3 structure from Alexandria via LeMat-Bulk. Energies are from PBE-GGA.

Summary:
Energy relative to the elements in eV/atom: -0.27
Calculated volume in Å³/atom: 15.30
Total energy in eV per cell: -62.28

a b c (Å): 2.993 4.458 7.233
angles (deg): 107.95 90.00 90.00
Fractional positions:
Ta: 0.000 0.329 0.658
Ta: 0.000 0.671 0.342
V: 0.000 0.000 0.000
Ru: 0.500 0.500 0.000
Ru: 0.500 0.851 0.702
Ru: 0.500 0.149 0.298


Here is a geometry-optimized TaVRu2 structure from Alexandria via LeMat-Bulk. Energies are from PBE-GGA.

Summary:
Energy relative to the elements in eV/atom: -0.27
Calculated volume in Å³/atom: 14.93
Total energy in eV per cell: -81.18

a b c (Å): 5.401 5.401 5.371
angles (deg): 112.36 112.36 104.09
Fractional positions:
Ta: 0.263 0.263 0.525
Ta: 0.737 0.737 0.475
V: 0.255 0.745 0.000
V: 0.745 0.255 0.000
Ru: 0.226 0.226 0.000
Ru: 0.750 0.250 0.500
Ru: 0.774 0.774 0.000
Ru: 0.250 0.750 0.500


Here is a geometry-optimized TaV5Ru6 structure from Alexandria via LeMat-Bulk. Energies are from PBE-GGA.

Summary:
Energy relative to the elements in eV/atom: -0.24
Calculated volume in Å³/atom: 14.15
Total energy in eV per cell: -115.93

a b c (Å): 4.291 6.154 6.773
angles (deg): 90.00 71.65 90.00
Fractional positions:
Ru: 0.833 0.740 0.335
Ru: 0.833 0.260 0.335
Ru: 0.500 0.256 0.000
Ru: 0.500 0.744 0.000
Ru: 0.167 0.740 0.665
Ru: 0.167 0.260 0.665
Ta: 0.000 0.000 0.000
V: 0.666 0.500 0.666
V: 0.327 0.000 0.346
V: 0.000 0.500 0.000
V: 0.673 0.000 0.654
V: 0.334 0.500 0.334


Here is a geometry-optimized TaV4Ru structure from Alexandria via LeMat-Bulk. Energies are from PBE-GGA.

Summary:
Energy relative to the elements in eV/atom: -0.05
Calculated volume in Å³/atom: 14.37
Total energy in eV per cell: -57.89

a b c (Å): 4.958 4.958 4.958
angles (deg): 60.00 60.00 60.00
Fractional positions:
Ru: 0.250 0.250 0.250
V: 0.625 0.625 0.125
V: 0.625 0.125 0.625
V: 0.625 0.625 0.625
V: 0.125 0.625 0.625
Ta: 0.000 0.000 0.000


Here is a geometry-optimized Ta3VRu structure from Alexandria via LeMat-Bulk. Energies are from PBE-GGA.

Summary:
Energy relative to the elements in eV/atom: 0.06
Calculated volume in Å³/atom: 16.89
Total energy in eV per cell: -214.69

a b c (Å): 8.576 6.992 6.992
angles (deg): 73.17 64.31 64.31
Fractional positions:
Ta: 0.602 0.725 0.062
Ta: 0.898 0.938 0.275
Ta: 0.398 0.275 0.938
Ta: 0.102 0.062 0.725
Ta: 0.934 0.336 0.049
Ta: 0.566 0.951 0.664
Ta: 0.066 0.664 0.951
Ta: 0.434 0.049 0.336
Ta: 0.431 0.650 0.659
Ta: 0.069 0.341 0.350
Ta: 0.569 0.350 0.341
Ta: 0.931 0.659 0.650
V: 0.708 0.424 0.822
V: 0.792 0.178 0.576
V: 0.292 0.576 0.178
V: 0.208 0.822 0.424
Ru: 0.250 0.969 0.031
Ru: 0.750 0.031 0.969
Ru: 0.250 0.368 0.632
Ru: 0.750 0.632 0.368